Record 1
# AcNdUN4

Crystalline AcNdUN4 at its relaxed geometry (GGA-PBE, Alexandria).

Calculated values
Uncorrected energy, eV per atom: -8.926
Calculated volume, Å³/f.u.: 119.5
Formation energy (no corrections), kJ per mole of atoms: -124.3
Crystal system: orthorhombic
Size of the total moment, μB/f.u.: 0.00

a b c (Å): 7.222 7.222 6.039
angles (deg): 90.00 90.00 130.66
Fractional positions:
Ac1 0.102 0.898 0.750
Ac2 0.898 0.102 0.250
Nd1 0.399 0.601 0.750
Nd2 0.601 0.399 0.250
U1 0.252 0.748 0.250
U2 0.748 0.252 0.750
N1 0.000 0.500 0.000
N2 0.000 0.500 0.500
N3 0.086 0.914 0.250
N4 0.424 0.576 0.250
N5 0.500 0.000 0.000
N6 0.500 0.000 0.500
N7 0.576 0.424 0.750
N8 0.914 0.086 0.750

=====

Record 2
# AcNdUN3

Crystalline AcNdUN3 at its relaxed geometry (GGA-PBE, Alexandria).

Calculated values
Uncorrected energy, eV per atom: -8.503
Calculated volume, Å³/f.u.: 127.9
Formation energy (no corrections), kJ per mole of atoms: -94.5
Crystal system: monoclinic
Size of the total moment, μB/f.u.: 0.00

a b c (Å): 7.857 3.770 8.745
angles (deg): 90.00 99.00 90.00
Fractional positions:
Ac1 0.174 0.250 0.146
Ac2 0.826 0.750 0.854
Nd1 0.377 0.750 0.844
Nd2 0.623 0.250 0.156
U1 0.063 0.250 0.595
U2 0.937 0.750 0.405
N1 0.105 0.250 0.844
N2 0.205 0.750 0.580
N3 0.397 0.750 0.120
N4 0.603 0.250 0.880
N5 0.795 0.250 0.420
N6 0.895 0.750 0.156

=====

Record 3
# Ac3Nd4UN8

Crystalline Ac3Nd4UN8 at its relaxed geometry (GGA-PBE, Alexandria).

Calculated values
Uncorrected energy, eV per atom: -8.050
Calculated volume, Å³/f.u.: 289.8
Formation energy (no corrections), kJ per mole of atoms: -117.6
Crystal system: trigonal
Size of the total moment, μB/f.u.: 0.00

a b c (Å): 7.393 7.393 7.393
angles (deg): 60.63 60.63 60.63
Fractional positions:
Ac1 0.000 0.500 0.500
Ac2 0.500 0.000 0.500
Ac3 0.500 0.500 0.000
Nd1 0.000 0.000 0.500
Nd2 0.000 0.500 0.000
Nd3 0.500 0.000 0.000
Nd4 0.500 0.500 0.500
U1 0.000 0.000 0.000
N1 0.210 0.780 0.780
N2 0.220 0.220 0.790
N3 0.220 0.790 0.220
N4 0.245 0.245 0.245
N5 0.755 0.755 0.755
N6 0.780 0.210 0.780
N7 0.780 0.780 0.210
N8 0.790 0.220 0.220

=====

Record 4
# Ac2NdUN5

Crystalline Ac2NdUN5 at its relaxed geometry (GGA-PBE, Alexandria).

Calculated values
Uncorrected energy, eV per atom: -8.554
Calculated volume, Å³/f.u.: 163.6
Formation energy (no corrections), kJ per mole of atoms: -118.8
Crystal system: tetragonal
Size of the total moment, μB/f.u.: 0.00

a b c (Å): 4.179 4.179 9.369
angles (deg): 90.00 90.00 90.00
Fractional positions:
Ac1 0.000 0.000 0.225
Ac2 0.000 0.000 0.775
Nd1 0.500 0.500 0.500
U1 0.500 0.500 0.000
N1 0.000 0.000 0.500
N2 0.000 0.500 0.000
N3 0.500 0.000 0.000
N4 0.500 0.500 0.243
N5 0.500 0.500 0.757